Record 1
{
  "formula": "SrSmCuSn",
  "functional": "PBE",
  "state": "optimized geometry",
  "e_form_ev_per_atom": -0.352,
  "vol_a3_per_atom": 27.9,
  "lattice": [[-1.141, 4.984, -1.743], [-1.148, 0.842, -5.211], [-5.039, 1.254, -1.487]],
  "species": ["Sr", "Cu", "Sn", "Sm"],
  "frac_coords": [[0.500, 0.500, 0.500], [0.750, 0.750, 0.750], [0.250, 0.250, 0.250], [0.000, 0.000, 0.000]]
}

Record 2
{
  "formula": "TaRe4Ru",
  "functional": "PBE",
  "state": "optimized geometry",
  "e_form_ev_per_atom": 0.125,
  "vol_a3_per_atom": 16.1,
  "lattice": [[-1.374, -4.621, -1.802], [-4.966, -1.067, -0.828], [-1.765, -0.464, -4.812]],
  "species": ["Ta", "Re", "Re", "Re", "Re", "Ru"],
  "frac_coords": [[0.000, 0.000, 0.000], [0.875, 0.375, 0.375], [0.375, 0.375, 0.875], [0.375, 0.875, 0.375], [0.375, 0.375, 0.375], [0.750, 0.750, 0.750]]
}

Record 3
{
  "formula": "SrLaTc2",
  "functional": "PBE",
  "state": "optimized geometry",
  "relative_energy_mev_per_atom": 575,
  "e_form_ev_per_atom": 0.878,
  "vol_a3_per_atom": 23.3,
  "lattice": [[0.000, 3.601, 3.601], [3.601, 0.000, 3.601], [3.601, 3.601, 0.000]],
  "species": ["Sr", "Tc", "Tc", "La"],
  "frac_coords": [[0.000, 0.000, 0.000], [0.250, 0.250, 0.250], [0.750, 0.750, 0.750], [0.500, 0.500, 0.500]]
}

Record 4
{
  "formula": "ZnPdRu2W",
  "functional": "PBE",
  "state": "optimized geometry",
  "relative_energy_mev_per_atom": 198,
  "e_form_ev_per_atom": 1.704,
  "vol_a3_per_atom": 17.9,
  "lattice": [[-0.530, -2.394, -3.692], [-2.073, -3.252, 2.406], [-3.908, 1.965, -0.712]],
  "species": ["Ru", "Ru", "Zn", "Pd", "W"],
  "frac_coords": [[0.000, 0.000, 0.500], [0.500, 0.000, 0.000], [0.000, 0.000, 0.000], [0.500, 0.500, 0.500], [0.000, 0.500, 0.000]]
}

Record 5
{
  "formula": "Ti8Zn2Ga3",
  "functional": "PBE",
  "state": "optimized geometry",
  "e_form_ev_per_atom": 0.018,
  "vol_a3_per_atom": 17.3,
  "lattice": [[4.456, 0.000, 0.508], [0.000, 6.628, 0.000], [-0.858, -3.314, 7.498]],
  "species": ["Ti", "Ti", "Ti", "Ti", "Ti", "Ti", "Ti", "Ti", "Zn", "Zn", "Ga", "Ga", "Ga"],
  "frac_coords": [[0.000, 0.679, 0.359], [0.000, 0.321, 0.641], [0.000, 0.113, 0.226], [0.000, 0.887, 0.774], [0.500, 0.594, 0.770], [0.500, 0.176, 0.770], [0.500, 0.824, 0.230], [0.500, 0.406, 0.230], [0.499, 0.231, 0.462], [0.501, 0.769, 0.538], [0.500, 0.000, 0.000], [0.000, 0.313, 0.000], [0.000, 0.687, 0.000]]
}

Record 6
{
  "formula": "CaNi2Sn3",
  "functional": "PBE",
  "state": "optimized geometry",
  "e_form_ev_per_atom": -0.168,
  "vol_a3_per_atom": 21.7,
  "lattice": [[-0.623, 4.351, 5.043], [1.242, -1.953, 6.277], [6.648, 2.563, 3.047]],
  "species": ["Ca", "Ca", "Ni", "Ni", "Ni", "Ni", "Sn", "Sn", "Sn", "Sn", "Sn", "Sn"],
  "frac_coords": [[0.780, 0.780, 0.661], [0.220, 0.220, 0.339], [0.000, 0.000, 0.000], [0.000, 0.500, 0.000], [0.500, 0.500, 0.000], [0.500, 0.000, 0.000], [0.255, 0.742, 0.261], [0.742, 0.255, 0.261], [0.742, 0.742, 0.261], [0.258, 0.745, 0.739], [0.745, 0.258, 0.739], [0.258, 0.258, 0.739]]
}

Record 7
{
  "formula": "Pr12SnRu6",
  "functional": "PBE",
  "state": "optimized geometry",
  "e_form_ev_per_atom": -0.190,
  "vol_a3_per_atom": 28.3,
  "lattice": [[-4.408, -5.696, 5.186], [8.700, -1.691, 0.473], [-1.553, 8.300, 2.733]],
  "species": ["Pr", "Pr", "Pr", "Pr", "Pr", "Pr", "Pr", "Pr", "Pr", "Pr", "Pr", "Pr", "Sn", "Ru", "Ru", "Ru", "Ru", "Ru", "Ru"],
  "frac_coords": [[0.298, 0.104, 0.805], [0.298, 0.493, 0.195], [0.702, 0.507, 0.805], [0.702, 0.896, 0.195], [0.104, 0.805, 0.298], [0.493, 0.195, 0.298], [0.507, 0.805, 0.702], [0.896, 0.195, 0.702], [0.805, 0.298, 0.104], [0.195, 0.298, 0.493], [0.805, 0.702, 0.507], [0.195, 0.702, 0.896], [0.000, 0.000, 0.000], [0.381, 0.500, 0.881], [0.619, 0.500, 0.119], [0.500, 0.881, 0.381], [0.500, 0.119, 0.619], [0.881, 0.381, 0.500], [0.119, 0.619, 0.500]]
}

Record 8
{
  "formula": "RbSrTa",
  "functional": "PBE",
  "state": "optimized geometry",
  "relative_energy_mev_per_atom": 1094,
  "e_form_ev_per_atom": 1.553,
  "vol_a3_per_atom": 34.4,
  "lattice": [[5.395, -3.115, 0.000], [0.000, 6.229, 0.000], [0.000, 0.000, 3.072]],
  "species": ["Sr", "Rb", "Ta"],
  "frac_coords": [[0.000, 0.000, 0.000], [0.667, 0.333, 0.500], [0.333, 0.667, 0.000]]
}

Record 9
{
  "formula": "P2PbBr",
  "functional": "PBE",
  "state": "optimized geometry",
  "formation_energy_uncorrected_ev_per_atom": -0.083,
  "relative_energy_mev_per_atom": 48,
  "vol_a3_per_atom": 29.7,
  "lattice": [[-0.247, 4.516, -1.678], [0.475, 2.289, -4.220], [-7.397, 0.702, -2.717]],
  "species": ["Br", "P", "P", "Pb"],
  "frac_coords": [[0.250, 0.250, 0.298], [0.038, 0.038, 0.883], [0.692, 0.692, 0.787], [0.521, 0.521, 0.532]]
}

Record 10
{
  "formula": "CaDySnPd",
  "functional": "PBE",
  "state": "optimized geometry",
  "e_form_ev_per_atom": -0.698,
  "vol_a3_per_atom": 24.5,
  "lattice": [[-2.400, 2.494, -3.846], [-3.023, -2.612, -3.288], [-5.133, 0.641, 0.138]],
  "species": ["Ca", "Sn", "Pd", "Dy"],
  "frac_coords": [[0.000, 0.000, 0.000], [0.250, 0.250, 0.250], [0.750, 0.750, 0.750], [0.500, 0.500, 0.500]]
}

Record 11
{
  "formula": "Ac2La9Pr",
  "functional": "PBE",
  "state": "optimized geometry",
  "e_form_ev_per_atom": 0.006,
  "vol_a3_per_atom": 37.7,
  "lattice": [[-4.402, -2.161, 2.073], [1.460, -4.767, -1.867], [7.836, -2.924, 13.595]],
  "species": ["Ac", "Ac", "La", "La", "La", "La", "La", "La", "La", "La", "La", "Pr"],
  "frac_coords": [[0.000, 0.000, 0.332], [0.000, 0.000, 0.668], [0.500, 0.500, 0.000], [0.500, 0.500, 0.331], [0.500, 0.500, 0.669], [0.500, 0.000, 0.163], [0.500, 0.000, 0.500], [0.500, 0.000, 0.837], [0.000, 0.500, 0.163], [0.000, 0.500, 0.500], [0.000, 0.500, 0.837], [0.000, 0.000, 0.000]]
}

Record 12
{
  "formula": "La3Pr7Er2",
  "functional": "PBE",
  "state": "optimized geometry",
  "relative_energy_mev_per_atom": 8,
  "e_form_ev_per_atom": 0.084,
  "vol_a3_per_atom": 35.9,
  "lattice": [[3.661, 0.000, 0.000], [0.000, 6.025, 0.288], [0.000, -1.974, 19.452]],
  "species": ["La", "La", "La", "Pr", "Pr", "Pr", "Pr", "Pr", "Pr", "Pr", "Er", "Er"],
  "frac_coords": [[0.500, 0.500, 0.000], [0.000, 0.224, 0.365], [0.000, 0.776, 0.635], [0.500, 0.744, 0.464], [0.500, 0.256, 0.536], [0.000, 0.689, 0.146], [0.000, 0.000, 0.000], [0.000, 0.311, 0.854], [0.500, 0.808, 0.818], [0.500, 0.192, 0.182], [0.500, 0.716, 0.295], [0.500, 0.284, 0.705]]
}

no.,magnetic moment (μB per formula unit)
1,0.00
2,0.00
3,2.70
4,0.56
5,0.41
6,0.00
7,0.00
8,0.00
9,0.00
10,0.00
11,0.00
12,0.00